# 1
A plane-wave DFT calculation with PBE was carried out for crystalline NaLaCoS3 at its relaxed geometry.

The structure in CIF format:
```
data_NaLaCoS3
_chemical_formula_sum 'Na4 La4 Co4 S12'
_space_group_name_H-M_alt 'P 1'
_space_group_IT_number 1
_cell_length_a 11.2223
_cell_length_b 4.0396
_cell_length_c 11.5424
_cell_angle_alpha 90.00
_cell_angle_beta 90.00
_cell_angle_gamma 90.00
loop_
_space_group_symop_operation_xyz
'x,y,z'
loop_
_atom_site_label
_atom_site_fract_x
_atom_site_fract_y
_atom_site_fract_z
Co1 0.7439 0.2500 0.2915
S1 0.8829 0.7500 0.9407
S2 0.0651 0.7500 0.6500
Co2 0.7561 0.7500 0.7915
S3 0.7855 0.2500 0.6969
S4 0.4349 0.2500 0.1500
Na1 0.1561 0.2500 0.4881
Na2 0.8439 0.7500 0.5119
Na3 0.3439 0.7500 0.9881
Na4 0.6561 0.2500 0.0119
La1 0.4792 0.7500 0.3228
La2 0.5208 0.2500 0.6772
Co3 0.2561 0.7500 0.7085
Co4 0.2439 0.2500 0.2085
S5 0.5651 0.7500 0.8500
S6 0.6171 0.2500 0.4407
S7 0.1171 0.2500 0.0593
S8 0.3829 0.7500 0.5593
S9 0.7145 0.7500 0.1969
La3 0.0208 0.2500 0.8228
S10 0.9349 0.2500 0.3500
S11 0.2145 0.7500 0.3031
S12 0.2855 0.2500 0.8031
La4 0.9792 0.7500 0.1772
```

## Properties
- Energy above the most stable polymorph in this dataset: 0.0000 eV per atom
- Space-group type: No. 62
- Final energy: -5.5445 eV per atom

---

# 2
A plane-wave DFT calculation with PBE was carried out for crystalline NaLaCoS3 at its relaxed geometry.

The structure in CIF format:
```
data_NaLaCoS3
_chemical_formula_sum 'Na2 La2 Co2 S6'
_space_group_name_H-M_alt 'P 1'
_space_group_IT_number 1
_cell_length_a 6.5477
_cell_length_b 6.5477
_cell_length_c 11.1440
_cell_angle_alpha 90.00
_cell_angle_beta 90.00
_cell_angle_gamma 144.31
loop_
_space_group_symop_operation_xyz
'x,y,z'
loop_
_atom_site_label
_atom_site_fract_x
_atom_site_fract_y
_atom_site_fract_z
La1 0.0000 0.0000 0.5000
S1 0.3619 0.6381 0.9090
S2 0.9269 0.0731 0.2500
La2 0.0000 0.0000 0.0000
Co1 0.4721 0.5279 0.7500
Co2 0.5279 0.4721 0.2500
Na1 0.2466 0.7534 0.2500
S3 0.3619 0.6381 0.5910
S4 0.6381 0.3619 0.0910
S5 0.6381 0.3619 0.4090
S6 0.0731 0.9269 0.7500
Na2 0.7534 0.2466 0.7500
```

## Properties
- Energy above the most stable polymorph in this dataset: 0.0472 eV per atom
- Space-group type: No. 63
- Final energy: -5.4973 eV per atom

---

# 3
A plane-wave DFT calculation with PBE was carried out for crystalline NaLaTaCo at its relaxed geometry.

The structure in CIF format:
```
data_NaLaTaCo
_chemical_formula_sum 'Na1 La1 Ta1 Co1'
_space_group_name_H-M_alt 'P 1'
_space_group_IT_number 1
_cell_length_a 4.9044
_cell_length_b 4.9044
_cell_length_c 4.9044
_cell_angle_alpha 60.00
_cell_angle_beta 60.00
_cell_angle_gamma 60.00
loop_
_space_group_symop_operation_xyz
'x,y,z'
loop_
_atom_site_label
_atom_site_fract_x
_atom_site_fract_y
_atom_site_fract_z
Na1 0.7500 0.7500 0.7500
Ta1 0.0000 0.0000 0.0000
La1 0.2500 0.2500 0.2500
Co1 0.5000 0.5000 0.5000
```

## Properties
- Energy above the most stable polymorph in this dataset: 0.3069 eV per atom
- Space-group type: No. 216
- Final energy: -5.2165 eV per atom

---

# 4
A plane-wave DFT calculation with PBE was carried out for crystalline NaLaTaCo at its relaxed geometry.

The structure in CIF format:
```
data_NaLaTaCo
_chemical_formula_sum 'Na1 La1 Ta1 Co1'
_space_group_name_H-M_alt 'P 1'
_space_group_IT_number 1
_cell_length_a 4.7863
_cell_length_b 4.7863
_cell_length_c 4.7863
_cell_angle_alpha 60.00
_cell_angle_beta 60.00
_cell_angle_gamma 60.00
loop_
_space_group_symop_operation_xyz
'x,y,z'
loop_
_atom_site_label
_atom_site_fract_x
_atom_site_fract_y
_atom_site_fract_z
La1 0.5000 0.5000 0.5000
Na1 0.7500 0.7500 0.7500
Co1 0.0000 0.0000 0.0000
Ta1 0.2500 0.2500 0.2500
```

## Properties
- Energy above the most stable polymorph in this dataset: 0.0249 eV per atom
- Space-group type: No. 216
- Final energy: -5.4985 eV per atom

---

# 5
A plane-wave DFT calculation with PBE was carried out for crystalline NaLaTaCo at its relaxed geometry.

The structure in CIF format:
```
data_NaLaTaCo
_chemical_formula_sum 'Na1 La1 Ta1 Co1'
_space_group_name_H-M_alt 'P 1'
_space_group_IT_number 1
_cell_length_a 4.8405
_cell_length_b 4.8405
_cell_length_c 4.8405
_cell_angle_alpha 60.00
_cell_angle_beta 60.00
_cell_angle_gamma 60.00
loop_
_space_group_symop_operation_xyz
'x,y,z'
loop_
_atom_site_label
_atom_site_fract_x
_atom_site_fract_y
_atom_site_fract_z
Ta1 0.0000 0.0000 0.0000
Na1 0.7500 0.7500 0.7500
Co1 0.2500 0.2500 0.2500
La1 0.5000 0.5000 0.5000
```

## Properties
- Energy above the most stable polymorph in this dataset: 0.0000 eV per atom
- Space-group type: No. 216
- Final energy: -5.5234 eV per atom

---

# 6
A plane-wave DFT calculation with PBE was carried out for crystalline LaNbCo at its relaxed geometry.

The structure in CIF format:
```
data_LaNbCo
_chemical_formula_sum 'La1 Nb1 Co1'
_space_group_name_H-M_alt 'P 1'
_space_group_IT_number 1
_cell_length_a 4.4308
_cell_length_b 4.4308
_cell_length_c 4.4308
_cell_angle_alpha 60.00
_cell_angle_beta 60.00
_cell_angle_gamma 60.00
loop_
_space_group_symop_operation_xyz
'x,y,z'
loop_
_atom_site_label
_atom_site_fract_x
_atom_site_fract_y
_atom_site_fract_z
Nb1 0.7500 0.7500 0.7500
La1 0.0000 0.0000 0.0000
Co1 0.2500 0.2500 0.2500
```

## Properties
- Energy above the most stable polymorph in this dataset: 0.4958 eV per atom
- Space-group type: No. 216
- Energy relative to the elements: 121.0 kJ per mole of atoms
- Final energy: -6.1204 eV per atom